# ScOs3I | Alexandria via LeMat-Bulk | PBE-GGA | relaxed
# - Excess energy over the best structure of this formula in the dataset: 0.0000 eV per atom
# - Formation energy without anion corrections: 10.592 eV/f.u.
data_ScOs3I
_chemical_formula_sum 'Sc1 Os3 I1'
_symmetry_space_group_name_H-M 'P m -3 m'
_symmetry_Int_Tables_number 221
_symmetry_space_group_name_Hall '-P 4 2 3'
_cell_length_a 4.792
_cell_length_b 4.792
_cell_length_c 4.792
_cell_angle_alpha 90.00
_cell_angle_beta 90.00
_cell_angle_gamma 90.00
loop_
_atom_site_label
_atom_site_fract_x
_atom_site_fract_y
_atom_site_fract_z
Sc1 0.000 0.000 0.000
Os1 0.000 0.500 0.500
I1 0.500 0.500 0.500